1.
Entry from Alexandria via LeMat-Bulk: a geometry-optimized Zn2AsBr structure (GGA-PBE).

Properties
Total DFT energy (no corrections), eV per atom: -2.0989
Excess energy over the best structure of this formula in the dataset, meV per atom: 530.9
SG: No. 123
Total magnetic moment, μB per formula unit: 0.00
Crystal system: tetragonal

Cell: 3.339 3.339 7.199 Å, 90.00 90.00 90.00°
Element x y z (fractional)
Zn  0.000  0.000  0.217
Zn  0.000  0.000  0.783
As  0.500  0.500  0.000
Br  0.500  0.500  0.500

2.
Entry from Alexandria via LeMat-Bulk: a geometry-optimized Zn2AsBr structure (GGA-PBE).

Properties
Total DFT energy (no corrections), eV per atom: -2.2624
Excess energy over the best structure of this formula in the dataset, meV per atom: 367.4
SG: No. 10
Total magnetic moment, μB per formula unit: 0.00
Crystal system: monoclinic

Cell: 3.596 3.422 6.881 Å, 90.00 90.00 90.00°
Element x y z (fractional)
Zn  0.002  0.000  0.191
Zn  0.998  0.000  0.809
As  0.500  0.500  0.000
Br  0.000  0.500  0.500

3.
Entry from Alexandria via LeMat-Bulk: a geometry-optimized ZnAsBr2 structure (GGA-PBE).

Properties
Total DFT energy (no corrections), eV per atom: -2.4249
Excess energy over the best structure of this formula in the dataset, meV per atom: 206.0
SG: No. 12
Total magnetic moment, μB per formula unit: 0.00
Crystal system: monoclinic

Cell: 8.521 8.521 3.997 Å, 92.60 92.60 23.47°
Element x y z (fractional)
Zn  0.000  0.000  0.000
As  0.500  0.500  0.500
Br  0.356  0.356  0.235
Br  0.644  0.644  0.765

4.
Entry from Alexandria via LeMat-Bulk: a geometry-optimized ZnAsBr2 structure (GGA-PBE).

Properties
Total DFT energy (no corrections), eV per atom: -2.3408
Excess energy over the best structure of this formula in the dataset, meV per atom: 290.0
SG: No. 166
Total magnetic moment, μB per formula unit: 0.93
Crystal system: trigonal

Cell: 11.879 11.879 11.879 Å, 17.21 17.21 17.21°
Element x y z (fractional)
Zn  0.000  0.000  0.000
As  0.500  0.500  0.500
Br  0.378  0.378  0.378
Br  0.622  0.622  0.622

5.
Entry from Alexandria via LeMat-Bulk: a geometry-optimized ZnAsBr2 structure (GGA-PBE).

Properties
Total DFT energy (no corrections), eV per atom: -2.2264
Excess energy over the best structure of this formula in the dataset, meV per atom: 404.5
SG: No. 69
Total magnetic moment, μB per formula unit: 0.00
Crystal system: orthorhombic

Cell: 5.528 5.135 5.094 Å, 65.42 57.64 56.94°
Element x y z (fractional)
Zn  0.000  0.000  0.000
As  0.500  0.500  0.500
Br  0.000  0.500  0.500
Br  0.500  0.000  0.000

6.
Entry from Alexandria via LeMat-Bulk: a geometry-optimized ZnAsBr2 structure (GGA-PBE).

Properties
Total DFT energy (no corrections), eV per atom: -2.3191
Excess energy over the best structure of this formula in the dataset, meV per atom: 311.7
SG: No. 71
Total magnetic moment, μB per formula unit: 0.00
Crystal system: orthorhombic

Cell: 8.118 8.118 8.118 Å, 154.64 149.43 40.13°
Element x y z (fractional)
Zn  0.000  0.000  0.000
As  0.500  0.500  0.000
Br  0.355  0.855  0.500
Br  0.645  0.145  0.500

7.
Entry from Alexandria via LeMat-Bulk: a geometry-optimized Zn2AsBr structure (GGA-PBE).

Properties
Total DFT energy (no corrections), eV per atom: -2.6298
Excess energy over the best structure of this formula in the dataset, meV per atom: 0.0
SG: No. 122
Total magnetic moment, μB per formula unit: 0.00
Crystal system: tetragonal

Cell: 7.323 7.323 7.323 Å, 132.62 132.62 69.25°
Element x y z (fractional)
Zn  0.069  0.625  0.944
Zn  0.375  0.319  0.444
Zn  0.681  0.125  0.056
Zn  0.875  0.931  0.556
As  0.000  0.000  0.000
As  0.750  0.250  0.500
Br  0.250  0.750  0.500
Br  0.500  0.500  0.000

8.
Entry from Alexandria via LeMat-Bulk: a geometry-optimized Zn2AsBr structure (GGA-PBE).

Properties
Total DFT energy (no corrections), eV per atom: -2.0653
Excess energy over the best structure of this formula in the dataset, meV per atom: 564.5
SG: No. 35
Total magnetic moment, μB per formula unit: 0.00
Crystal system: orthorhombic

Cell: 3.267 3.267 9.117 Å, 90.00 90.00 109.72°
Element x y z (fractional)
Zn  0.000  0.000  0.000
Zn  0.500  0.500  0.217
As  0.500  0.500  0.809
Br  0.000  0.000  0.406

9.
Entry from Alexandria via LeMat-Bulk: a geometry-optimized Zn2AsBr structure (GGA-PBE).

Properties
Total DFT energy (no corrections), eV per atom: -2.3976
Excess energy over the best structure of this formula in the dataset, meV per atom: 232.2
SG: No. 99
Total magnetic moment, μB per formula unit: 0.00
Crystal system: tetragonal

Cell: 3.688 3.688 6.811 Å, 90.00 90.00 90.00°
Element x y z (fractional)
Zn  0.000  0.000  0.000
Zn  0.500  0.500  0.368
As  0.000  0.000  0.353
Br  0.500  0.500  0.837

10.
Entry from Alexandria via LeMat-Bulk: a geometry-optimized Zn2AsBr structure (GGA-PBE).

Properties
Total DFT energy (no corrections), eV per atom: -2.0300
Excess energy over the best structure of this formula in the dataset, meV per atom: 599.8
SG: No. 44
Total magnetic moment, μB per formula unit: 0.00
Crystal system: orthorhombic

Cell: 5.797 5.797 5.797 Å, 149.00 120.11 68.97°
Element x y z (fractional)
Zn  0.000  0.000  0.000
Zn  0.778  0.278  0.500
As  0.555  0.555  0.000
Br  0.224  0.724  0.500

11.
Entry from Alexandria via LeMat-Bulk: a geometry-optimized ZnAsBr2 structure (GGA-PBE).

Properties
Total DFT energy (no corrections), eV per atom: -2.5044
Excess energy over the best structure of this formula in the dataset, meV per atom: 126.4
SG: No. 44
Total magnetic moment, μB per formula unit: 0.00
Crystal system: orthorhombic

Cell: 7.728 7.728 7.728 Å, 153.83 141.01 47.57°
Element x y z (fractional)
Zn  0.000  0.000  0.000
As  0.138  0.638  0.500
Br  0.587  0.587  0.000
Br  0.875  0.375  0.500

12.
Entry from Alexandria via LeMat-Bulk: a geometry-optimized ZnAs4Br structure (GGA-PBE).

Properties
Total DFT energy (no corrections), eV per atom: -3.3304
SG: No. 216
Total magnetic moment, μB per formula unit: 0.00
Crystal system: cubic

Cell: 6.056 6.056 6.056 Å, 60.00 60.00 60.00°
Element x y z (fractional)
Zn  0.000  0.000  0.000
As  0.191  0.603  0.603
As  0.603  0.191  0.603
As  0.603  0.603  0.191
As  0.603  0.603  0.603
Br  0.250  0.250  0.250

Energy relative to the elements, uncorrected for the records above, in order: 0.5; -0.2; -0.4; -0.1; 0.4; 0.0; -1.6; 0.6; -0.7; 0.8; -0.7; 1.6 eV/f.u.